Sm2TmIr: relaxed, PBE.

Unit cell a=6.374 b=7.249 c=9.626 alpha=90.00 beta=90.00 gamma=90.00
Fractional positions:
Ir1 0.043 0.382 0.250
Tm1 0.857 0.038 0.250
Ir2 0.957 0.618 0.750
Sm1 0.675 0.821 0.564
Sm2 0.325 0.179 0.064
Sm3 0.175 0.679 0.436
Ir3 0.457 0.882 0.250
Tm2 0.143 0.962 0.750
Sm4 0.675 0.821 0.936
Sm5 0.825 0.321 0.936
Sm6 0.325 0.179 0.436
Tm3 0.643 0.538 0.250
Sm7 0.175 0.679 0.064
Tm4 0.357 0.462 0.750
Sm8 0.825 0.321 0.564
Ir4 0.543 0.118 0.750

* distance to the lowest polymorph of the same formula: 0.00 kcal/mol of atoms
* space group: No. 62
* total moment: 0.000 μB per formula unit